No. 1
Here is LiMg2Ni after structural relaxation from the Alexandria database. Energies are from PBEsol.

The structure in CIF format:
```
data_LiMg2Ni
_chemical_formula_sum 'Li1 Mg2 Ni1'
_cell_length_a 5.3664
_cell_length_b 5.3664
_cell_length_c 5.3664
_cell_angle_alpha 147.02
_cell_angle_beta 130.73
_cell_angle_gamma 60.57
_symmetry_space_group_name_H-M 'P 1'
_symmetry_Int_Tables_number 1
loop_
_symmetry_equiv_pos_as_xyz
'x,y,z'
loop_
_atom_site_label
_atom_site_fract_x
_atom_site_fract_y
_atom_site_fract_z
Li1 0.0000 0.0000 0.0000
Mg1 0.2803 0.7803 0.5000
Mg2 0.5612 0.5612 0.0000
Ni1 0.7859 0.2859 0.5000
```

Summary:
- space-group type = Imm2, No. 44



No. 2
Here is LiMg2Ni after structural relaxation from the Alexandria database. Energies are from PBEsol.

The structure in CIF format:
```
data_LiMg2Ni
_chemical_formula_sum 'Li1 Mg2 Ni1'
_cell_length_a 4.4328
_cell_length_b 4.4328
_cell_length_c 4.4328
_cell_angle_alpha 60.00
_cell_angle_beta 60.00
_cell_angle_gamma 60.00
_symmetry_space_group_name_H-M 'P 1'
_symmetry_Int_Tables_number 1
loop_
_symmetry_equiv_pos_as_xyz
'x,y,z'
loop_
_atom_site_label
_atom_site_fract_x
_atom_site_fract_y
_atom_site_fract_z
Li1 0.0000 0.0000 0.0000
Mg1 0.2500 0.2500 0.2500
Mg2 0.7500 0.7500 0.7500
Ni1 0.5000 0.5000 0.5000
```

Summary:
- space-group type = Fm-3m, No. 225



No. 3
Here is LiMgNi2 after structural relaxation from the Alexandria database. Energies are from PBEsol.

The structure in CIF format:
```
data_LiMgNi2
_chemical_formula_sum 'Li1 Mg1 Ni2'
_cell_length_a 2.6067
_cell_length_b 3.6249
_cell_length_c 5.2933
_cell_angle_alpha 90.00
_cell_angle_beta 90.00
_cell_angle_gamma 90.00
_symmetry_space_group_name_H-M 'P 1'
_symmetry_Int_Tables_number 1
loop_
_symmetry_equiv_pos_as_xyz
'x,y,z'
loop_
_atom_site_label
_atom_site_fract_x
_atom_site_fract_y
_atom_site_fract_z
Li1 0.0000 0.0000 0.0000
Mg1 0.5000 0.5000 0.2970
Ni1 0.0000 0.0000 0.5566
Ni2 0.5000 0.5000 0.7756
```

Summary:
- space-group type = Pmm2, No. 25



No. 4
Here is LiMg2Ni after structural relaxation from the Alexandria database. Energies are from PBEsol.

The structure in CIF format:
```
data_LiMg2Ni
_chemical_formula_sum 'Li1 Mg2 Ni1'
_cell_length_a 5.0654
_cell_length_b 5.0654
_cell_length_c 5.0654
_cell_angle_alpha 135.79
_cell_angle_beta 135.79
_cell_angle_gamma 64.31
_symmetry_space_group_name_H-M 'P 1'
_symmetry_Int_Tables_number 1
loop_
_symmetry_equiv_pos_as_xyz
'x,y,z'
loop_
_atom_site_label
_atom_site_fract_x
_atom_site_fract_y
_atom_site_fract_z
Li1 0.0000 0.0000 0.0000
Mg1 0.5000 0.5000 0.0000
Mg2 0.7500 0.2500 0.5000
Ni1 0.2500 0.7500 0.5000
```

Summary:
- space-group type = I-4m2, No. 119



no.,ΔH_f (0 K) (eV per atom),total magnetization (μB per formula unit)
1,-0.0245,0.0
2,-0.0895,0.0
3,0.0445,0.0
4,0.0115,0.0